# Te2O2F (GGA-PBE, relaxed)
data_Te2O2F
_chemical_formula_sum 'Te2 O2 F1'
_cell_length_a 4.710
_cell_length_b 4.710
_cell_length_c 6.033
_cell_angle_alpha 114.53
_cell_angle_beta 114.53
_cell_angle_gamma 107.25
_space_group_name_H-M_alt 'P 1'
_space_group_IT_number 1
_space_group_name_Hall 'P 1'
loop_
_atom_site_label
_atom_site_fract_x
_atom_site_fract_y
_atom_site_fract_z
Te1 0.605 0.605 0.299
Te2 0.395 0.395 0.701
F1 0.000 0.000 0.000
O1 0.832 0.168 0.500
O2 0.168 0.832 0.500
# V, A^3/atom: 18.26
# Total energy, eV/atom: -4.44
# E_form (uncorrected), eV/atom: -0.823
# Density of states at the Fermi level, states/eV/f.u.: 1.5
# Magnetic moment, μB per formula unit: 0.000
# SG: No. 12



# Te5O4F22 (GGA-PBE, relaxed)
data_Te5O4F22
_chemical_formula_sum 'Te10 O8 F44'
_cell_length_a 12.550
_cell_length_b 12.550
_cell_length_c 12.550
_cell_angle_alpha 133.00
_cell_angle_beta 133.00
_cell_angle_gamma 68.66
_space_group_name_H-M_alt 'P 1'
_space_group_IT_number 1
_space_group_name_Hall 'P 1'
loop_
_atom_site_label
_atom_site_fract_x
_atom_site_fract_y
_atom_site_fract_z
Te1 0.234 0.317 0.494
Te2 0.750 0.250 0.500
Te3 0.928 0.510 0.994
Te4 0.516 0.933 0.006
Te5 0.822 0.740 0.506
Te6 0.683 0.178 0.918
Te7 0.067 0.072 0.582
Te8 0.260 0.766 0.082
Te9 0.000 0.000 0.000
Te10 0.490 0.484 0.418
F1 0.202 0.957 0.550
F2 0.402 0.002 0.080
F3 0.659 0.159 0.500
F4 0.649 0.755 0.471
F5 0.541 0.007 0.729
F6 0.921 0.321 0.920
F7 0.091 0.091 0.000
F8 0.752 0.171 0.100
F9 0.301 0.373 0.235
F10 0.402 0.452 0.744
F11 0.348 0.248 0.420
F12 0.935 0.699 0.072
F13 0.613 0.185 0.735
F14 0.679 0.598 0.600
F15 0.188 0.459 0.465
F16 0.627 0.863 0.928
F17 0.343 0.598 0.050
F18 0.123 0.387 0.572
F19 0.928 0.899 0.394
F20 0.245 0.716 0.894
F21 0.757 0.527 0.965
F22 0.473 0.438 0.229
F23 0.277 0.812 0.271
F24 0.407 0.652 0.450
F25 0.815 0.551 0.428
F26 0.998 0.079 0.400
F27 0.841 0.341 0.500
F28 0.284 0.178 0.529
F29 0.562 0.791 0.035
F30 0.909 0.909 0.000
F31 0.101 0.495 0.029
F32 0.822 0.351 0.106
F33 0.707 0.657 0.256
F34 0.449 0.877 0.265
F35 0.137 0.065 0.765
F36 0.348 0.798 0.756
F37 0.505 0.534 0.606
F38 0.548 0.293 0.950
F39 0.071 0.652 0.900
F40 0.466 0.072 0.971
F41 0.043 0.593 0.244
F42 0.209 0.243 0.771
F43 0.829 0.929 0.580
F44 0.993 0.723 0.535
O1 0.187 0.946 0.130
O2 0.944 0.813 0.760
O3 0.806 0.437 0.740
O4 0.563 0.304 0.370
O5 0.696 0.066 0.260
O6 0.816 0.056 0.870
O7 0.934 0.194 0.630
O8 0.054 0.184 0.240
# V, A^3/atom: 16.74
# Total energy, eV/atom: -4.29
# E_form (uncorrected), eV/atom: -1.812
# Density of states at the Fermi level, states/eV/f.u.: 0.0
# Magnetic moment, μB per formula unit: 0.201
# SG: No. 88